Record 1
The following is a DFT calculation (PBE) of an optimized crystal structure of NaNi2Ir2.

Computed properties:
- Space group: P4/mbm
- D(E_F): 18.2 states/eV per cell
- Density: 11.8 g cm⁻³
- Distance to the lowest polymorph of the same formula: 0 meV/atom

abc: 7.5258 7.5258 2.6041
angles: 90.00 90.00 90.00
Closest atoms and distances in Å follow each position.
Fractional coordinates of all 10 atoms:
Na 0.0000 0.0000 0.0000  2 Na 2.60
Na 0.5000 0.5000 0.0000  2 Na 2.60
Ni 0.1751 0.3249 0.5000  6 Ir 2.51-2.63, 2 Ni 2.60
Ni 0.3249 0.8249 0.5000  6 Ir 2.51-2.63, 2 Ni 2.60
Ni 0.6751 0.1751 0.5000  6 Ir 2.51-2.63, 2 Ni 2.60
Ni 0.8249 0.6751 0.5000  6 Ir 2.51-2.63, 2 Ni 2.60
Ir 0.1233 0.6233 0.0000  6 Ni 2.51-2.63, 3 Ir 2.60-2.63
Ir 0.3767 0.1233 0.0000  6 Ni 2.51-2.63, 3 Ir 2.60-2.63
Ir 0.6233 0.8767 0.0000  6 Ni 2.51-2.63, 3 Ir 2.60-2.63
Ir 0.8767 0.3767 0.0000  6 Ni 2.51-2.63, 3 Ir 2.60-2.63

***

Record 2
The following is a DFT calculation (PBE) of an optimized crystal structure of MoOs2W.

Computed properties:
- Space group: C2/m
- D(E_F): 3.6 states/eV per cell
- Density: 18.1 g cm⁻³
- Distance to the lowest polymorph of the same formula: 80 meV/atom

abc: 4.8057 4.8057 4.8326
angles: 99.61 99.61 33.55
Closest atoms and distances in Å follow each position.
Fractional coordinates of all 4 atoms:
Mo 0.0000 0.0000 0.0000  6 Os 2.75-2.77, 2 Mo 2.77, 4 W 2.79
Os 0.2491 0.2491 0.7566  6 Os 2.73-2.84, 3 Mo 2.75-2.77, 3 W 2.78-2.81
Os 0.7509 0.7509 0.2434  6 Os 2.73-2.84, 3 Mo 2.75-2.77, 3 W 2.78-2.81
W 0.5000 0.5000 0.5000  2 W 2.77, 6 Os 2.78-2.81, 4 Mo 2.79

***

Record 3
The following is a DFT calculation (PBE) of an optimized crystal structure of ZnRe2Au.

Computed properties:
- Space group: Pm
- Electronic total energy: -7.149 eV/atom
- D(E_F): 2.4 states/eV per cell
- Density: 16.7 g cm⁻³

abc: 2.8468 3.8917 5.6869
angles: 90.00 90.99 90.00
Closest atoms and distances in Å follow each position.
Fractional coordinates of all 4 atoms:
Zn 0.0000 0.0000 0.0000  5 Re 2.67-2.92, 4 Au 2.72-2.73, 2 Zn 2.85
Re 0.0403 0.0000 0.5311  4 Re 2.53-2.77, 1 Zn 2.67
Re 0.4690 0.5000 0.7206  4 Re 2.53-2.77
Au 0.5042 0.5000 0.2223  4 Zn 2.72-2.73, 6 Re 2.84-3.02, 2 Au 2.85

***

Record 4
The following is a DFT calculation (PBE) of an optimized crystal structure of Rb3Pm2PrO6.

Computed properties:
- Space group: C2/m
- D(E_F): 0.0 states/eV per cell
- Density: 5.7 g cm⁻³
- Energy relative to the elements, uncorrected: -2.5671 eV/atom

abc: 6.3384 6.3384 6.9390
angles: 98.76 98.76 120.00
Closest atoms and distances in Å follow each position.
Fractional coordinates of all 12 atoms:
Rb 0.0000 0.0000 0.0000  6 O 2.97-3.00
Rb 0.3328 0.6672 0.0000  6 O 2.97-3.00
Rb 0.6672 0.3328 0.0000  6 O 2.97-3.00
Pm 0.1667 0.8333 0.5000  6 O 2.41
Pm 0.8333 0.1667 0.5000  6 O 2.41
Pr 0.5000 0.5000 0.5000  6 O 2.45
O 0.1023 0.4399 0.3196  2 Pm 2.41, 1 Pr 2.45
O 0.2226 0.2226 0.6805  2 Pm 2.41, 1 Pr 2.45
O 0.4399 0.1023 0.3196  2 Pm 2.41, 1 Pr 2.45
O 0.5601 0.8977 0.6804  2 Pm 2.41, 1 Pr 2.45
O 0.7774 0.7774 0.3195  2 Pm 2.41, 1 Pr 2.45
O 0.8977 0.5601 0.6804  2 Pm 2.41, 1 Pr 2.45

***

Record 5
The following is a DFT calculation (PBE) of an optimized crystal structure of PuHfCoIr.

Computed properties:
- Space group: F-43m
- Electronic total energy: -10.400 eV/atom
- D(E_F): 8.9 states/eV per cell
- Density: 15.5 g cm⁻³

abc: 4.6749 4.6749 4.6749
angles: 60.00 60.00 60.00
Closest atoms and distances in Å follow each position.
Fractional coordinates of all 4 atoms:
Pu 0.0000 0.0000 0.0000  4 Co 2.86, 4 Ir 2.86
Hf 0.5000 0.5000 0.5000  4 Co 2.86, 4 Ir 2.86
Co 0.2500 0.2500 0.2500  4 Hf 2.86, 4 Pu 2.86
Ir 0.7500 0.7500 0.7500  4 Hf 2.86, 4 Pu 2.86

***

Record 6
The following is a DFT calculation (PBE) of an optimized crystal structure of Ga2HOF.

Computed properties:
- Space group: P4/mmm
- Electronic total energy: -3.512 eV/atom
- D(E_F): 0.7 states/eV per cell
- Density: 5.1 g cm⁻³

abc: 4.1301 4.1301 3.3450
angles: 90.00 90.00 90.00
Closest atoms and distances in Å follow each position.
Fractional coordinates of all 5 atoms:
Ga 0.0000 0.5000 0.0000  2 H 2.07
Ga 0.5000 0.0000 0.0000  2 H 2.07
H 0.0000 0.0000 0.0000  2 F 1.67
O 0.5000 0.5000 0.5000  8 Ga 2.66, 4 F 2.92
F 0.0000 0.0000 0.5000  2 H 1.67

***

What is the density in the third record?
16.7 g cm⁻³